1.
Here is TlTe3 after structural relaxation from Alexandria. Energies are from PBE.

It has space group P6_3/mmc (No. 194), with a = 7.0238 Å, b = 7.0238 Å, c = 6.3134 Å, α = 90.00°, β = 90.00° and γ = 120.00°. The distinct sites, in fractional coordinates, are Tl at (0.3333, 0.6667, 0.2500) and Te at (0.1906, 0.3813, 0.7500).

The calculation puts the uncorrected formation energy at 0.155 eV per atom. For the density of states at the Fermi level, the calculation gives 5.6 states/eV per cell.


2.
Here is LaSmTm2Bi4 after structural relaxation from Alexandria. Energies are from PBE.

It has space group P2/m (No. 10), with a = 7.8342 Å, b = 4.5440 Å, c = 7.8606 Å, α = 90.00°, β = 109.54° and γ = 90.00°. The distinct sites, in fractional coordinates, are La at (0.0000, 0.0000, 0.0000), Sm at (0.0000, 0.5000, 0.5000), Tm at (0.5000, 0.0000, 0.5000), Tm at (0.5000, 0.5000, 0.0000), Bi at (0.2613, 0.0000, 0.7505) and Bi at (0.2636, 0.5000, 0.2580).

As for the formation energy: -881 meV per atom. For the density of states at the Fermi level, the calculation gives 1.2 states/eV per cell.


3.
Here is CdMo2WCl after structural relaxation from Alexandria. Energies are from PBE.

It has space group P4/mmm (No. 123), with a = 4.9338 Å, b = 4.9338 Å, c = 4.7512 Å, α = 90.00°, β = 90.00° and γ = 90.00°. The distinct sites, in fractional coordinates, are Cd at (0.0000, 0.0000, 0.0000), Mo at (0.0000, 0.5000, 0.5000), W at (0.5000, 0.5000, 0.5000) and Cl at (0.5000, 0.5000, 0.0000).

The calculation puts the uncorrected formation energy at 1.464 eV per atom. For the density of states at the Fermi level, the calculation gives 4.0 states/eV per cell.


4.
Here is Zr2TcIF after structural relaxation from Alexandria. Energies are from PBE.

It has space group P4/mmm (No. 123), with a = 5.3399 Å, b = 5.3399 Å, c = 4.7600 Å, α = 90.00°, β = 90.00° and γ = 90.00°. The distinct sites, in fractional coordinates, are Zr at (0.0000, 0.5000, 0.0000), Tc at (0.0000, 0.0000, 0.5000), I at (0.0000, 0.0000, 0.0000) and F at (0.5000, 0.5000, 0.5000).

The calculation puts the uncorrected formation energy at 1.154 eV per atom. For the density of states at the Fermi level, the calculation gives 8.1 states/eV per cell.


| no. | total DFT energy (no corrections) (eV/f.u.) | total magnetic moment (μB/cell) |
| --- | --- | --- |
| 1 | -11.17 | 0.00 |
| 2 | -41.16 | 0.00 |
| 3 | -30.06 | 3.70 |
| 4 | -25.11 | 0.01 |